Material: BiPdO2
Method: DFT, SCAN
State: PBEsol geometry

Values from the calculation:
The uncorrected formation energy comes out at -0.339 eV per atom. The space-group type is I-42d (122). The spin magnetization comes out at 1.9 μB per cell.

Lattice parameters (Å, degrees): 4.2914 4.2914 7.2414 107.24 107.24 90.00
Last column: nearest neighbours and their distance in Å.
Fractional coordinates of all 8 atoms:
O  0.1250  0.1630  0.7500  2 Pd 2.16, 2 Bi 2.32
O  0.6250  0.5870  0.7500  2 Pd 2.16, 2 Bi 2.32
O  0.4130  0.8750  0.2500  2 Pd 2.16, 2 Bi 2.32
Pd  0.7500  0.2500  0.5000  4 O 2.16
Pd  0.5000  0.5000  0.0000  4 O 2.16
Bi  0.2500  0.7500  0.5000  4 O 2.32
O  0.8370  0.3750  0.2500  2 Pd 2.16, 2 Bi 2.32
Bi  0.0000  0.0000  0.0000  4 O 2.32